# P5W3Au

P5W3Au after structural relaxation (PBE, OQMD).

Geometry as CIF:
```
data_P5W3Au
_cell_length_a 5.2963
_cell_length_b 5.2963
_cell_length_c 7.1596
_cell_angle_alpha 90.00
_cell_angle_beta 90.00
_cell_angle_gamma 120.00
_symmetry_space_group_name_H-M 'P 6/m m m'
_symmetry_Int_Tables_number 191
_symmetry_space_group_name_Hall '-P 6 2'
loop_
_atom_site_label
_atom_site_fract_x
_atom_site_fract_y
_atom_site_fract_z
P1 0.0000 0.0000 0.0000
P2 0.3333 0.6667 0.2816
W1 0.0000 0.5000 0.0000
Au1 0.0000 0.0000 0.5000
```

Results
Total moment   0.01 μB per formula unit
DFT total energy   -7.293 eV/atom